--- one ---
PmTh2 | PBE-GGA | relaxed

Properties
Calculated density in kg/m³: 10239

Cell lengths 3.605, 3.605, 15.203 Å; angles 90.00, 90.00, 90.00 degrees
Space group I4/mmm (No. 139)
Symmetry-distinct sites (fractional):
Pm  0.000  0.000  0.000 [2 per cell]
Th  0.000  0.000  0.330 [4 per cell]

***

--- two ---
PmTh2 | PBE-GGA | relaxed

Properties
Calculated density in kg/m³: 10293

Cell lengths 3.5930, 3.5930, 26.3654 Å; angles 90.00, 90.00, 120.00 degrees
Space group P-3m1 (No. 164)
Symmetry-distinct sites (fractional):
Pm  0.0000  0.0000  0.0000 [1 per cell]
Pm  0.3333  0.6667  0.2225 [2 per cell]
Th  0.0000  0.0000  0.3361 [2 per cell]
Th  0.3333  0.6667  0.5550 [2 per cell]
Th  0.3333  0.6667  0.8886 [2 per cell]

***

--- three ---
PmTh2 | PBE-GGA | relaxed

Properties
Calculated density in kg/m³: 9653

Cell lengths 9.429, 9.429, 9.429 Å; angles 90.00, 90.00, 90.00 degrees
Space group Fd-3m (No. 227, origin choice 2)
Symmetry-distinct sites (fractional):
Pm  0.125  0.125  0.125 [8 per cell]
Th  0.000  0.000  0.500 [16 per cell]

***

Quick one: most stable of them? two

***

--- one ---
PmTh5 | PBE-GGA | relaxed

Properties
Calculated density in kg/m³: 11107

Cell lengths 6.042, 18.028, 3.583 Å; angles 90.00, 90.00, 90.00 degrees
Space group Cmmm (No. 65)
Symmetry-distinct sites (fractional):
Pm  0.000  0.000  0.000 [2 per cell]
Th  0.000  0.169  0.500 [4 per cell]
Th  0.000  0.333  0.000 [4 per cell]
Th  0.000  0.500  0.500 [2 per cell]

***

--- two ---
PmTh5 | PBE-GGA | relaxed

Properties
Calculated density in kg/m³: 11095

Cell lengths 3.591, 3.591, 15.148 Å; angles 90.00, 90.00, 90.00 degrees
Space group P4/mmm (No. 123)
Symmetry-distinct sites (fractional):
Pm  0.000  0.000  0.000 [1 per cell]
Th  0.000  0.000  0.335 [2 per cell]
Th  0.500  0.500  0.172 [2 per cell]
Th  0.500  0.500  0.500 [1 per cell]

***

Quick one: most stable of them? two

***

--- one ---
PmTh8 | PBE-GGA | relaxed

Properties
Calculated density in kg/m³: 11445

Cell lengths 10.725, 10.725, 5.049 Å; angles 90.00, 90.00, 90.00 degrees
Space group I4/mmm (No. 139)
Symmetry-distinct sites (fractional):
Pm  0.000  0.000  0.000 [2 per cell]
Th  0.000  0.334  0.000 [8 per cell]
Th  0.168  0.168  0.500 [8 per cell]

***

--- two ---
PmTh8 | PBE-GGA | relaxed

Properties
Calculated density in kg/m³: 11391

Cell lengths 12.777, 12.777, 3.574 Å; angles 90.00, 90.00, 90.00 degrees
Space group I4/mmm (No. 139)
Symmetry-distinct sites (fractional):
Pm  0.000  0.000  0.000 [2 per cell]
Th  0.000  0.333  0.000 [8 per cell]
Th  0.169  0.169  0.500 [8 per cell]

***

Quick one: most stable of them? one

***

--- one ---
Pm2Th3 | PBE-GGA | relaxed

Properties
Calculated density in kg/m³: 9909

Cell lengths 9.8761, 9.8761, 11.7381 Å; angles 90.00, 90.00, 120.00 degrees
Space group R-3c (No. 167, hexagonal axes)
Symmetry-distinct sites (fractional):
Pm  0.0000  0.0000  0.1277 [12 per cell]
Th  0.0000  0.3427  0.2500 [18 per cell]

***

--- two ---
Pm2Th3 | PBE-GGA | relaxed

Properties
Calculated density in kg/m³: 9925

Cell lengths 3.5979, 3.5979, 44.1478 Å; angles 90.00, 90.00, 120.00 degrees
Space group R-3m (No. 166, hexagonal axes)
Symmetry-distinct sites (fractional):
Pm  0.0000  0.0000  0.2022 [6 per cell]
Th  0.0000  0.0000  0.0000 [3 per cell]
Th  0.0000  0.0000  0.3983 [6 per cell]

***

Quick one: most stable of them? two

***

--- one ---
PmTh | PBE-GGA | relaxed

Properties
Calculated density in kg/m³: 9344

Cell lengths 3.582, 5.939, 6.299 Å; angles 90.00, 90.02, 90.00 degrees
Space group P2_1/m (No. 11)
Symmetry-distinct sites (fractional):
Pm  0.249  0.250  0.403 [2 per cell]
Th  0.251  0.750  0.081 [2 per cell]

***

--- two ---
PmTh | PBE-GGA | relaxed

Properties
Calculated density in kg/m³: 9416

Cell lengths 3.6155, 3.6155, 35.2356 Å; angles 90.00, 90.00, 120.00 degrees
Space group R-3m (No. 166, hexagonal axes)
Symmetry-distinct sites (fractional):
Pm  0.0000  0.0000  0.1224 [6 per cell]
Th  0.0000  0.0000  0.2931 [6 per cell]

***

--- three ---
PmTh | PBE-GGA | relaxed

Properties
Calculated density in kg/m³: 9395

Cell lengths 3.610, 3.610, 10.225 Å; angles 90.00, 90.00, 90.00 degrees
Space group P4/nmm (No. 129, origin choice 2)
Symmetry-distinct sites (fractional):
Pm  0.250  0.250  0.135 [2 per cell]
Th  0.250  0.250  0.618 [2 per cell]

***

Quick one: most stable of them? two

***

--- one ---
Pm4ThTl2 | PBE-GGA | relaxed

Properties
Calculated density in kg/m³: 8303

Cell lengths 5.5806, 5.5806, 27.1585 Å; angles 90.00, 90.00, 120.00 degrees
Space group R-3m (No. 166, hexagonal axes)
Symmetry-distinct sites (fractional):
Pm  0.0000  0.0000  0.1280 [6 per cell]
Pm  0.0000  0.0000  0.2653 [6 per cell]
Th  0.0000  0.0000  0.5000 [3 per cell]
Tl  0.0000  0.0000  0.3826 [6 per cell]

***

--- two ---
Pm4ThTl2 | PBE-GGA | relaxed

Properties
Calculated density in kg/m³: 8857

Cell lengths 8.768, 10.522, 4.961 Å; angles 90.00, 90.00, 90.00 degrees
Space group Cmmm (No. 65)
Symmetry-distinct sites (fractional):
Pm  0.208  0.000  0.000 [4 per cell]
Pm  0.250  0.250  0.500 [4 per cell]
Th  0.000  0.500  0.500 [2 per cell]
Tl  0.000  0.278  0.000 [4 per cell]

***

Quick one: most stable of them? two

***

--- one ---
PmTh3Tl4 | PBE-GGA | relaxed

Properties
Calculated density in kg/m³: 11816

Cell lengths 3.572, 3.572, 18.272 Å; angles 90.00, 90.00, 90.00 degrees
Space group P4/mmm (No. 123)
Symmetry-distinct sites (fractional):
Pm  0.000  0.000  0.000 [1 per cell]
Th  0.000  0.000  0.248 [2 per cell]
Th  0.000  0.000  0.500 [1 per cell]
Tl  0.500  0.500  0.122 [2 per cell]
Tl  0.500  0.500  0.374 [2 per cell]

***

--- two ---
PmTh3Tl4 | PBE-GGA | relaxed

Properties
Calculated density in kg/m³: 11685

Cell lengths 9.916, 6.936, 6.854 Å; angles 90.00, 90.00, 90.00 degrees
Space group Pmna (No. 53)
Symmetry-distinct sites (fractional):
Pm  0.000  0.000  0.000 [2 per cell]
Th  0.000  0.500  0.000 [2 per cell]
Th  0.250  0.265  0.250 [4 per cell]
Tl  0.000  0.000  0.500 [2 per cell]
Tl  0.000  0.500  0.500 [2 per cell]
Tl  0.250  0.240  0.750 [4 per cell]

***

Quick one: most stable of them? one

***

--- one ---
Pm3Tm3Th2 | PBE-GGA | relaxed

Properties
Calculated density in kg/m³: 9054

Cell lengths 7.160, 14.310, 6.168 Å; angles 90.00, 125.32, 90.00 degrees
Space group C2/m (No. 12)
Symmetry-distinct sites (fractional):
Pm  0.000  0.000  0.000 [2 per cell]
Pm  0.000  0.369  0.500 [4 per cell]
Tm  0.000  0.126  0.500 [4 per cell]
Tm  0.000  0.500  0.000 [2 per cell]
Th  0.000  0.253  0.000 [4 per cell]

***

--- two ---
Pm3Tm3Th2 | PBE-GGA | relaxed

Properties
Calculated density in kg/m³: 9030

Cell lengths 5.030, 5.056, 20.331 Å; angles 90.00, 90.00, 90.00 degrees
Space group Immm (No. 71)
Symmetry-distinct sites (fractional):
Pm  0.000  0.000  0.000 [2 per cell]
Pm  0.000  0.500  0.128 [4 per cell]
Tm  0.000  0.000  0.500 [2 per cell]
Tm  0.000  0.500  0.373 [4 per cell]
Th  0.000  0.000  0.250 [4 per cell]

***

Quick one: most stable of them? two

***

--- one ---
Pm2Tm8Th3 | PBE-GGA | relaxed

Properties
Calculated density in kg/m³: 8844

Cell lengths 14.724, 9.201, 6.576 Å; angles 90.00, 99.87, 90.00 degrees
Space group C2/m (No. 12)
Symmetry-distinct sites (fractional):
Pm  0.219  0.000  0.303 [4 per cell]
Tm  0.079  0.500  0.364 [4 per cell]
Tm  0.112  0.321  0.939 [8 per cell]
Tm  0.197  0.000  0.792 [4 per cell]
Th  0.000  0.000  0.000 [2 per cell]
Th  0.000  0.170  0.500 [4 per cell]

***

--- two ---
Pm2Tm8Th3 | PBE-GGA | relaxed

Properties
Calculated density in kg/m³: 9331

Cell lengths 5.584, 6.732, 22.131 Å; angles 90.00, 90.00, 90.00 degrees
Space group Immm (No. 71)
Symmetry-distinct sites (fractional):
Pm  0.000  0.000  0.224 [4 per cell]
Tm  0.000  0.000  0.075 [4 per cell]
Tm  0.000  0.259  0.351 [8 per cell]
Tm  0.000  0.500  0.179 [4 per cell]
Th  0.000  0.269  0.500 [4 per cell]
Th  0.000  0.500  0.000 [2 per cell]

***

Quick one: most stable of them? two

***

--- one ---
Pm3Tm4Th | PBE-GGA | relaxed

Properties
Calculated density in kg/m³: 8638

Cell lengths 11.466, 7.207, 6.247 Å; angles 90.00, 90.00, 90.00 degrees
Space group Pmn2_1 (No. 31)
Symmetry-distinct sites (fractional):
Pm  0.000  0.123  0.000 [2 per cell]
Pm  0.248  0.125  0.333 [4 per cell]
Tm  0.000  0.378  0.504 [2 per cell]
Tm  0.000  0.626  0.005 [2 per cell]
Tm  0.248  0.624  0.342 [4 per cell]
Th  0.000  0.873  0.506 [2 per cell]

***

--- two ---
Pm3Tm4Th | PBE-GGA | relaxed

Properties
Calculated density in kg/m³: 8783

Cell lengths 6.182, 3.572, 11.680 Å; angles 90.00, 100.23, 90.00 degrees
Space group P2/m (No. 10)
Symmetry-distinct sites (fractional):
Pm  0.000  0.000  0.000 [1 per cell]
Pm  0.000  0.500  0.500 [1 per cell]
Pm  0.500  0.000  0.500 [1 per cell]
Tm  0.254  0.500  0.249 [2 per cell]
Tm  0.256  0.000  0.754 [2 per cell]
Th  0.500  0.500  0.000 [1 per cell]

***

Quick one: most stable of them? two

***

--- one ---
Pm4Tm5Th2 | PBE-GGA | relaxed

Properties
Calculated density in kg/m³: 8096

Cell lengths 3.418, 9.214, 24.604 Å; angles 90.00, 90.00, 90.00 degrees
Space group Immm (No. 71)
Symmetry-distinct sites (fractional):
Pm  0.000  0.000  0.239 [4 per cell]
Pm  0.000  0.317  0.000 [4 per cell]
Tm  0.000  0.324  0.156 [8 per cell]
Tm  0.000  0.500  0.500 [2 per cell]
Th  0.000  0.000  0.107 [4 per cell]

***

--- two ---
Pm4Tm5Th2 | PBE-GGA | relaxed

Properties
Calculated density in kg/m³: 8908

Cell lengths 3.570, 9.418, 10.684 Å; angles 86.23, 89.98, 79.17 degrees
Space group P-1 (No. 2)
Symmetry-distinct sites (fractional):
Pm  0.089  0.323  0.456 [2 per cell]
Pm  0.361  0.778  0.824 [2 per cell]
Tm  0.000  0.500  0.000 [1 per cell]
Tm  0.273  0.952  0.363 [2 per cell]
Tm  0.453  0.593  0.268 [2 per cell]
Th  0.183  0.135  0.905 [2 per cell]

***

Quick one: most stable of them? two